Entry 1:
Ce3AlO6 (GGA-PBE, relaxed); symmetry = Cmc2_1; crystal system = orthorhombic; uncorrected formation energy = -3.244 eV/atom
1.0
-4.9778 -0.8483 2.3890
1.3197 -7.2759 0.1662
2.7163 2.3103 6.4802
O Ce Al
12 6 2
Direct
0.1696 0.4101 0.8892
0.6990 0.2149 0.7851
0.1990 0.7851 0.2149
0.6696 0.5899 0.1108
0.1278 0.0481 0.9519
0.6278 0.9519 0.0481
0.1696 0.1108 0.5899
0.7083 0.3276 0.3540
0.7083 0.6460 0.6724
0.2083 0.3540 0.3276
0.2083 0.6724 0.6460
0.6696 0.8892 0.4101
0.4364 0.3948 0.6052
0.9758 0.0836 0.2961
0.4758 0.9164 0.7039
0.4758 0.2961 0.0836
0.9364 0.6052 0.3948
0.9758 0.7039 0.9164
0.5150 0.8063 0.1937
0.0150 0.1937 0.8063

---

Entry 2:
NaGdLuIn (GGA-PBE, relaxed); symmetry = F-43m; crystal system = cubic; energy of formation = -0.108 eV per atom
1.0
5.3672 0.0000 0.0000
2.6836 4.6481 0.0000
2.6836 1.5494 4.3823
Gd Na In Lu
1 1 1 1
Direct
0.2500 0.2500 0.2500
0.0000 0.0000 0.0000
0.5000 0.5000 0.5000
0.7500 0.7500 0.7500

---

Entry 3:
Ba2LiZnIr (GGA-PBE, relaxed); symmetry = P4/mmm; crystal system = tetragonal; energy of formation = -0.046 eV per atom
1.0
6.0999 0.0000 0.0000
0.0000 6.0999 0.0000
0.0000 0.0000 4.9314
Zn Ir Ba Li
1 1 2 1
Direct
0.0000 0.0000 0.5000
0.0000 0.0000 0.0000
0.0000 0.5000 0.0000
0.5000 0.0000 0.0000
0.5000 0.5000 0.5000

---

Entry 4:
Tl2HgW (GGA-PBE, relaxed); symmetry = P4/mmm; crystal system = tetragonal; offset from the most stable computed form = 0.17 eV per formula unit; energy of formation = 0.759 eV per atom
1.0
-1.3653 0.6444 -2.5076
-2.4830 -1.1290 1.0617
-2.9274 10.4666 4.2835
Hg W Tl
1 1 2
Direct
0.5000 0.5000 0.7500
0.5000 0.5000 0.2500
0.0000 0.0000 0.0350
0.0000 0.0000 0.4650

---

Entry 5:
AgRu2Pb (GGA-PBE, relaxed); symmetry = I-42d; crystal system = tetragonal; energy of formation = 0.802 eV per atom
1.0
4.0380 0.0000 0.0000
0.0000 4.0380 0.0000
2.0190 2.0190 9.8099
Ru Ag Pb
4 2 2
Direct
0.5367 0.1250 0.2500
0.3750 0.4633 0.7500
0.2133 0.6250 0.2500
0.8750 0.7867 0.7500
0.5000 0.5000 0.0000
0.2500 0.7500 0.5000
0.0000 0.0000 0.0000
0.7500 0.2500 0.5000

---

Entry 6:
SrH10Pb2Br6O5 (GGA-PBE, relaxed); symmetry = C2/c; crystal system = monoclinic; electronic total energy = -4.382 eV per atom
1.0
10.0178 0.0189 0.0095
2.1588 9.7825 0.0095
3.0913 2.4883 8.5505
Br H Sr O Pb
12 20 2 10 4
Direct
0.9868 0.3137 0.5287
0.6863 0.0132 0.9713
0.0132 0.6863 0.4713
0.5677 0.3032 0.6095
0.3032 0.5677 0.1095
0.3137 0.9868 0.0287
0.8141 0.5692 0.1815
0.4323 0.6968 0.3905
0.1859 0.4308 0.8185
0.6968 0.4323 0.8905
0.5692 0.8141 0.6815
0.4308 0.1859 0.3185
0.0933 0.3277 0.0924
0.6723 0.9067 0.4076
0.9491 0.7701 0.1157
0.1117 0.7768 0.0576
0.0596 0.2956 0.2753
0.9067 0.6723 0.9076
0.7701 0.9491 0.6157
0.7768 0.1117 0.5576
0.2143 0.6765 0.7738
0.3235 0.7857 0.7262
0.2956 0.0596 0.7753
0.6765 0.2143 0.2738
0.3277 0.0933 0.5924
0.7044 0.9404 0.2247
0.9404 0.7044 0.7247
0.0509 0.2299 0.8843
0.2299 0.0509 0.3843
0.2232 0.8883 0.4424
0.8883 0.2232 0.9424
0.7857 0.3235 0.2262
0.0180 0.9820 0.7500
0.9820 0.0180 0.2500
0.9801 0.1615 0.9364
0.9103 0.7499 0.8104
0.2217 0.7783 0.7500
0.8385 0.0199 0.5636
0.0897 0.2501 0.1896
0.2501 0.0897 0.6896
0.7499 0.9103 0.3104
0.1615 0.9801 0.4364
0.7783 0.2217 0.2500
0.0199 0.8385 0.0636
0.5475 0.7347 0.0361
0.4525 0.2653 0.9639
0.2653 0.4525 0.4639
0.7347 0.5475 0.5361

---

Entry 7:
LiAc2Mg6 (GGA-PBE, relaxed); symmetry = C2/m; crystal system = monoclinic; energy of formation = -0.020 eV per atom
1.0
6.7955 0.0000 0.0000
-3.3978 5.3131 0.8992
0.0000 -0.3595 7.0769
Ac Mg Li
2 6 1
Direct
0.3384 0.6767 0.8773
0.6616 0.3233 0.1227
0.1355 0.2710 0.3147
0.1607 0.7787 0.3548
0.3820 0.2213 0.6452
0.8645 0.7290 0.6853
0.8393 0.2213 0.6452
0.6180 0.7787 0.3548
0.0000 0.0000 0.0000

---

Entry 8:
FeSeBr2 (GGA-PBE, relaxed); symmetry = Immm; crystal system = orthorhombic; offset from the most stable computed form = 1.45 eV per formula unit; uncorrected formation energy = 0.166 eV/atom
1.0
-0.4264 7.1314 -2.6728
0.0227 3.3469 -6.8542
-2.5423 -4.8379 5.3211
Br Se Fe
2 1 1
Direct
0.3918 0.3918 0.0000
0.1082 0.1082 0.0000
0.7500 0.2500 0.5000
0.2500 0.7500 0.5000

---

Entry 9:
Tb5YTm2Th (GGA-PBE, relaxed); symmetry = Cmc2_1; crystal system = orthorhombic; energy of formation = 0.160 eV per atom
1.0
5.6975 0.0000 0.0000
-2.8488 10.7417 0.0000
0.0000 0.0000 9.6818
Tm Tb Th Y
4 10 2 2
Direct
0.1166 0.2331 0.3320
0.1281 0.2562 0.7120
0.8719 0.7438 0.2120
0.8834 0.7669 0.8320
0.3990 0.7981 0.0422
0.3036 0.6071 0.7172
0.5321 0.0641 0.2431
0.6964 0.3929 0.2172
0.2728 0.5457 0.3206
0.4679 0.9359 0.7431
0.0145 0.0290 0.0178
0.6010 0.2019 0.5422
0.9855 0.9710 0.5178
0.7272 0.4543 0.8206
0.4057 0.8115 0.4220
0.5943 0.1885 0.9220
0.8108 0.6216 0.5172
0.1892 0.3784 0.0172

---

Entry 10:
KFe3Mo (GGA-PBE, relaxed); symmetry = Pm-3m; crystal system = cubic; offset from the most stable computed form = 6.42 eV per formula unit; energy of formation = 2.678 eV per atom
1.0
4.4072 0.0000 0.0000
0.0000 4.4072 0.0000
0.0000 0.0000 4.4072
Mo Fe K
1 3 1
Direct
0.5000 0.5000 0.5000
0.5000 0.0000 0.0000
0.0000 0.0000 0.5000
0.0000 0.5000 0.0000
0.0000 0.0000 0.0000

---

Entry 11:
SbIr2Br (GGA-PBE, relaxed); symmetry = Imm2; crystal system = orthorhombic; offset from the most stable computed form = 0.96 eV per formula unit; uncorrected formation energy = 0.586 eV/atom
1.0
-4.6060 2.4845 3.7614
-1.2804 -0.7591 6.2706
3.7948 1.6351 -4.9459
Sb Ir Br
1 2 1
Direct
0.5428 0.5428 0.0000
0.7466 0.2466 0.5000
0.9526 0.9526 0.0000
0.2580 0.7580 0.5000

---

Number 1: M_tot 3.00 μB/f.u.. Number 2: M_tot 7.63 μB/f.u.. Number 3: M_tot 0.00 μB/f.u.. Number 4: M_tot 0.00 μB/f.u.. Number 5: M_tot 0.44 μB/f.u.. Number 6: M_tot 0.00 μB/f.u.. Number 7: M_tot 0.00 μB/f.u.. Number 8: M_tot 2.98 μB/f.u.. Number 9: M_tot 0.00 μB/f.u.. Number 10: M_tot 9.67 μB/f.u.. Number 11: M_tot 0.00 μB/f.u..